Tb6Er19Sc4 PBE relaxed; ΔE_f = 11.0 eV per formula unit; magnetic moment = 0.0 μB per formula unit; density of states at the Fermi level = 46.5 states/eV/f.u.; space group = No. 197; E = -4.4404 eV/atom
1.0
-5.281 6.941 -5.981
-1.494 -9.763 -3.778
-3.541 0.509 9.951
Tb Er Sc
6 19 4
direct
0.371 0.500 0.871
0.629 0.500 0.129
0.129 0.629 0.500
0.871 0.371 0.500
0.500 0.871 0.371
0.500 0.129 0.629
0.741 0.000 0.741
0.259 0.000 0.259
0.259 0.259 0.000
0.741 0.741 0.000
0.000 0.741 0.741
0.000 0.259 0.259
0.000 0.000 0.000
0.193 0.212 0.536
0.807 0.343 0.019
0.676 0.657 0.464
0.019 0.807 0.343
0.324 0.788 0.981
0.536 0.193 0.212
0.981 0.324 0.788
0.464 0.676 0.657
0.788 0.981 0.324
0.343 0.019 0.807
0.212 0.536 0.193
0.657 0.464 0.676
0.000 0.000 0.645
0.000 0.645 0.000
0.355 0.355 0.355
0.645 0.000 0.000